Compound: RbSmCl2
Source: Alexandria
Functional: GGA-PBE
Structure: optimized geometry

* VASP energy: -14.9 eV for the cell shown
* volume: 131 Å³/cell
* D(E_F): 0.658 states/eV/atom
* magnetization: 0.00 Bohr magnetons per cell
* energy relative to the elements, uncorrected: -5.53 eV per formula unit

POSCAR file:
```
RbSmCl2
1.0
1.919 1.108 10.293
-1.919 1.108 10.293
0.000 -2.216 10.293
Rb Sm Cl
1 1 2
Direct
0.000 0.000 0.000 Rb
0.500 0.500 0.500 Sm
0.105 0.105 0.105 Cl
0.895 0.895 0.895 Cl
```


Compound: TaCdF2
Source: Alexandria
Functional: GGA-PBE
Structure: optimized geometry

* VASP energy: -40.4 eV for the cell shown
* offset from the most stable computed form: 653 meV per atom
* volume: 159 Å³/cell
* D(E_F): 0.681 states/eV/atom
* magnetization: 3.87 Bohr magnetons per cell
* energy relative to the elements, uncorrected: -3.69 eV per formula unit

POSCAR file:
```
TaCdF2
1.0
-3.669 3.669 2.945
3.669 -3.669 2.945
3.669 3.669 -2.945
Ta Cd F
2 2 4
Direct
0.000 0.000 0.000 Ta
0.750 0.250 0.500 Ta
0.250 0.750 0.500 Cd
0.500 0.500 0.000 Cd
0.375 0.021 0.146 F
0.771 0.625 0.646 F
0.875 0.229 0.854 F
0.979 0.125 0.354 F
```